Record 1
VASP calculation (PBE-GGA) on crystalline V3IrRh2 at its relaxed geometry.

Values from the calculation:
Energy of formation, meV per atom: -414
DFT total energy, eV per atom: -8.90

Cell: 3.8775 7.1641 7.1641 Å, 109.57 105.66 105.66°
Positions (direct):
V: 0.9993 0.8322 0.6664
V: 0.5000 0.0000 0.5000
Ir: 0.2500 0.5845 0.4155
V: 0.4993 0.6664 0.8322
Rh: 0.7500 0.0830 0.9170
Rh: 0.2500 0.9170 0.0830
V: 0.0007 0.1678 0.3336
Rh: 0.7500 0.7514 0.2486
V: 0.5007 0.3336 0.1678
Ir: 0.7500 0.4155 0.5845
Rh: 0.2500 0.2486 0.7514
V: 0.0000 0.5000 0.0000

Record 2
VASP calculation (PBE-GGA) on crystalline VIr3Rh3 at its relaxed geometry.

Values from the calculation:
Energy of formation, meV per atom: 350
DFT total energy, eV per atom: -7.90

Cell: 2.6755 10.8811 10.8811 Å, 120.00 90.00 90.00°
Positions (direct):
Rh: 0.2500 0.3892 0.4963
Rh: 0.2500 0.5037 0.8929
Ir: 0.2500 0.7356 0.1493
Rh: 0.7500 0.4963 0.1071
Ir: 0.2500 0.8507 0.5864
V: 0.2500 0.6667 0.3333
Ir: 0.7500 0.5864 0.7356
Ir: 0.2500 0.4136 0.2644
Rh: 0.2500 0.1071 0.6108
Ir: 0.7500 0.1493 0.4136
Ir: 0.7500 0.2644 0.8507
Rh: 0.7500 0.6108 0.5037
Rh: 0.7500 0.8929 0.3892
V: 0.7500 0.3333 0.6667

Record 3
VASP calculation (PBE-GGA) on crystalline V4Ir5Rh4 at its relaxed geometry.

Values from the calculation:
Energy of formation, meV per atom: -405
DFT total energy, eV per atom: -8.88

Cell: 3.8424 7.1623 7.1623 Å, 85.87 74.44 74.44°
Positions (direct):
Ir: 0.4520 0.2404 0.8556
Ir: 0.5480 0.7596 0.1444
Rh: 0.3808 0.7075 0.5308
V: 0.7659 0.3721 0.0961
Ir: 0.6924 0.8556 0.7596
Rh: 0.0884 0.5308 0.2925
V: 0.8620 0.9039 0.3721
Rh: 0.6192 0.2925 0.4692
Ir: 0.0000 0.0000 0.0000
Ir: 0.3076 0.1444 0.2404
V: 0.2341 0.6279 0.9039
V: 0.1380 0.0961 0.6279
Rh: 0.9116 0.4692 0.7075

Look up the energy of formation of the third one. -405 meV per atom